# 1
RbHf2Fe: optimized geometry, PBE.

a = 7.253 Å, b = 7.253 Å, c = 11.080 Å
α = 90.00°, β = 90.00°, γ = 90.00°
Space group I4_1/amd (No. 141, origin choice 2)
Inequivalent atoms, fractional coordinates:
Rb 0.000 0.250 0.375 (multiplicity 4)
Hf 0.000 0.000 0.000 (multiplicity 8)
Fe 0.000 0.250 0.875 (multiplicity 4)

## Properties
* formation enthalpy at 0 K: 1.15 eV per atom
* energy relative to the lowest polymorph listed for this composition: 0.00 eV per formula unit
* density of states at the Fermi level: 1.6741 states/eV/atom

=====

# 2
SmTh2Hg4: optimized geometry, PBE.

a = 5.232 Å, b = 5.232 Å, c = 14.987 Å
α = 90.00°, β = 90.00°, γ = 90.00°
Space group I4/mmm (No. 139)
Inequivalent atoms, fractional coordinates:
Sm 0.000 0.000 0.000 (multiplicity 2)
Th 0.000 0.000 0.259 (multiplicity 4)
Hg 0.000 0.500 0.112 (multiplicity 8)

## Properties
* formation enthalpy at 0 K: -0.19 eV per atom
* density of states at the Fermi level: 1.0177 states/eV/atom

=====

# 3
KRb3Cu2Cl6: optimized geometry, PBE.

a = 7.7698 Å, b = 7.7698 Å, c = 8.7284 Å
α = 90.00°, β = 90.00°, γ = 120.00°
Space group P-3m1 (No. 164)
Inequivalent atoms, fractional coordinates:
K 0.0000 0.0000 0.0000 (multiplicity 1)
Rb 0.0000 0.0000 0.5000 (multiplicity 1)
Rb 0.3333 0.6667 0.1788 (multiplicity 2)
Cu 0.3333 0.6667 0.7610 (multiplicity 2)
Cl 0.1688 0.3376 0.7696 (multiplicity 6)

## Properties
* energy relative to the elements, uncorrected: -1377 meV/atom
* density of states at the Fermi level: 0.0000 states/eV/atom